[1]
A plane-wave DFT calculation with PBE-GGA was carried out for crystalline LiSi2Au at its relaxed geometry.

Output
**Space-group type**: No. 122
**Formation energy without anion corrections**: 0.0681 eV per atom
**Fermi-level density of states**: 0.36 states/eV/atom
**ΔE to the lowest computed polymorph**: 0.1701 eV per atom
**Magnetic moment**: 0.000 μB per cell

Unit cell a=7.6569 b=7.6569 c=4.8672 alpha=90.00 beta=90.00 gamma=90.00
With the nearest neighbours (Å) after each atom.
Fractional positions:
Li 0.0000 0.0000 0.0000  2 Au 2.43
Li 0.0000 0.5000 0.2500  2 Au 2.43
Li 0.5000 0.0000 0.7500  2 Au 2.43
Li 0.5000 0.5000 0.5000  2 Au 2.43
Si 0.1997 0.2500 0.6250  2 Au 2.52, 2 Si 2.55
Si 0.2500 0.6997 0.8750  2 Au 2.52, 2 Si 2.55
Si 0.2500 0.8003 0.3750  2 Au 2.52, 2 Si 2.55
Si 0.3003 0.2500 0.1250  2 Au 2.52, 2 Si 2.55
Si 0.6997 0.7500 0.1250  2 Au 2.52, 2 Si 2.55
Si 0.7500 0.1997 0.3750  2 Au 2.52, 2 Si 2.55
Si 0.7500 0.3003 0.8750  2 Au 2.52, 2 Si 2.55
Si 0.8003 0.7500 0.6250  2 Au 2.52, 2 Si 2.55
Au 0.0000 0.0000 0.5000  2 Li 2.43, 4 Si 2.52
Au 0.0000 0.5000 0.7500  2 Li 2.43, 4 Si 2.52
Au 0.5000 0.0000 0.2500  2 Li 2.43, 4 Si 2.52
Au 0.5000 0.5000 0.0000  2 Li 2.43, 4 Si 2.52

---

[2]
A plane-wave DFT calculation with PBE-GGA was carried out for crystalline CsNi3Ru at its relaxed geometry.

Output
**Space-group type**: No. 221
**Fermi-level density of states**: 1.53 states/eV/atom
**ΔE to the lowest computed polymorph**: 0.0000 eV per atom
**Magnetic moment**: 2.128 μB per cell
**Energy of formation**: 1.14 eV per atom

Unit cell a=4.7254 b=4.7254 c=4.7254 alpha=90.00 beta=90.00 gamma=90.00
With the nearest neighbours (Å) after each atom.
Fractional positions:
Cs 0.0000 0.0000 0.0000  12 Ni 3.34
Ni 0.0000 0.5000 0.5000  2 Ru 2.36
Ni 0.5000 0.0000 0.5000  2 Ru 2.36
Ni 0.5000 0.5000 0.0000  2 Ru 2.36
Ru 0.5000 0.5000 0.5000  6 Ni 2.36

---

[3]
A plane-wave DFT calculation with PBE-GGA was carried out for crystalline BaSr2GeTe4 at its relaxed geometry.

Output
**Space-group type**: No. 74
**Formation energy without anion corrections**: -1.2441 eV per atom
**Fermi-level density of states**: 0.00 states/eV/atom
**Magnetic moment**: 0.000 μB per cell

Unit cell a=9.4483 b=9.4483 c=9.4483 alpha=120.05 beta=120.00 gamma=89.96
With the nearest neighbours (Å) after each atom.
Fractional positions:
Ba 0.0000 0.0000 0.0000  6 Te 3.41
Ba 0.5000 0.0000 0.5000  6 Te 3.41
Sr 0.0000 0.5000 0.5000  6 Te 3.28
Sr 0.5000 0.0000 0.0000  6 Te 3.47
Sr 0.5000 0.5000 0.0000  6 Te 3.28
Sr 0.5000 0.5000 0.5000  6 Te 3.47
Ge 0.0000 0.0000 0.5000  6 Te 3.22
Ge 0.0000 0.5000 0.0000  6 Te 3.22
Te 0.2267 0.7453 0.4814  2 Ge 3.22, 3 Sr 3.28-3.47, 1 Ba 3.41
Te 0.2361 0.2547 0.9814  2 Ge 3.22, 3 Sr 3.28-3.47, 1 Ba 3.41
Te 0.2407 0.2503 0.5096  1 Ge 3.22, 3 Sr 3.28-3.47, 2 Ba 3.41
Te 0.2407 0.7311 0.9904  1 Ge 3.22, 3 Sr 3.28-3.47, 2 Ba 3.41
Te 0.7593 0.2689 0.0096  1 Ge 3.22, 3 Sr 3.28-3.47, 2 Ba 3.41
Te 0.7593 0.7497 0.4904  1 Ge 3.22, 3 Sr 3.28-3.47, 2 Ba 3.41
Te 0.7639 0.7453 0.0186  2 Ge 3.22, 3 Sr 3.28-3.47, 1 Ba 3.41
Te 0.7733 0.2547 0.5186  2 Ge 3.22, 3 Sr 3.28-3.47, 1 Ba 3.41

---

Question: Which value of magnetic moment does entry 2 give?
Answer: 2.128 μB per cell